Record 1
TiIrBr2 | PBE-GGA | optimized geometry

Cell: 8.6877 8.6877 8.6877 Å, 21.34 21.34 21.34°
Fractional positions:
Ti (0.0000, 0.0000, 0.0000)
Ir (0.5000, 0.5000, 0.5000)
Br (0.4038, 0.4038, 0.4038)
Br (0.5962, 0.5962, 0.5962)

Results
The uncorrected formation energy comes out at 0.09 eV/atom. For the energy relative to the lowest polymorph listed for this composition, the calculation gives 0.0 meV per atom. The total moment is 0.000 μB per formula unit.

***

Record 2
LiSc2Zn | PBE-GGA | optimized geometry

Cell: 5.7586 5.7586 4.8532 Å, 113.60 113.60 32.89°
Fractional positions:
Li (0.0000, 0.0000, 0.0000)
Sc (0.5584, 0.5584, 0.5564)
Sc (0.7784, 0.7784, 0.2655)
Zn (0.3015, 0.3015, 0.7855)

Results
Its formation energy is -0.05 eV/atom. The total moment is 1.070 μB per formula unit.